# SrTa2Mn, optimized geometry, DFT GGA-PBEsol
data_SrTa2Mn
_cell_length_a 2.9587
_cell_length_b 2.9594
_cell_length_c 9.0323
_cell_angle_alpha 90.00
_cell_angle_beta 90.69
_cell_angle_gamma 90.00
_space_group_name_H-M_alt 'P 1 2/m 1'
_space_group_IT_number 10
_space_group_name_Hall '-P 2y'
loop_
_atom_site_label
_atom_site_type_symbol
_atom_site_fract_x
_atom_site_fract_y
_atom_site_fract_z
_atom_site_occupancy
Sr1 Sr 0.0000 0.0000 0.0000 1
Ta1 Ta 0.4870 0.5000 0.6704 1
Mn1 Mn 0.0000 0.0000 0.5000 1
# - excess energy over the best structure of this formula in the dataset (meV/atom) = 0.0
# - calculated density (g/cm³) = 10.6
# - size of the total moment (μB/f.u.) = 0.00
# - energy (eV/atom) = -8.623